Crystalline SrMnFe2F8 at its relaxed geometry. Source: the Alexandria database, functional PBE with a Hubbard U.

```
SrMnFe2F8
1.0
6.288 0.229 0.000
-2.584 5.737 0.000
-1.852 -2.983 5.221
F Fe Mn Sr
8 2 1 1
Cartesian
3.110 1.831 3.545
4.697 0.845 1.676
0.264 2.447 1.067
3.178 -1.602 3.545
-0.224 1.661 4.154
0.224 -1.661 4.154
1.590 -0.617 1.676
3.440 3.518 1.067
1.852 2.983 0.000
3.144 0.114 2.611
-1.292 2.868 2.611
0.000 0.000 0.000
```

Results
Uncorrected energy, eV/atom: -5.6869

***

Crystalline Mn2Tl3FeF9 at its relaxed geometry. Source: the Alexandria database, functional PBE with a Hubbard U.

```
Mn2Tl3FeF9
1.0
-0.906 -5.619 2.095
4.858 1.213 -3.423
3.900 1.653 6.121
Mn F Tl Fe
2 9 3 1
Cartesian
3.594 -0.785 -0.551
4.257 -1.967 5.344
-0.453 -2.809 1.047
3.092 -0.554 4.192
5.090 -2.781 3.521
2.634 -3.395 5.252
2.429 0.607 -1.711
2.761 0.029 1.272
5.217 0.642 -0.458
4.759 -2.199 0.601
1.976 -2.203 -0.664
2.319 -2.788 2.303
5.531 0.036 2.490
0.000 0.000 0.000
1.950 0.827 3.060
```

Results
Uncorrected energy, eV/atom: -5.1952

***

Crystalline MnTl3Fe2F9 at its relaxed geometry. Source: the Alexandria database, functional PBE with a Hubbard U.

```
MnTl3Fe2F9
1.0
6.084 0.000 0.000
-3.042 5.269 0.000
0.000 0.000 7.282
F Fe Mn Tl
9 2 1 3
Cartesian
1.526 0.881 4.892
-1.516 4.388 2.390
0.000 1.763 2.390
1.521 2.635 0.000
3.042 0.000 0.000
3.042 3.507 4.892
1.516 4.388 2.390
-1.521 2.635 0.000
4.558 0.881 4.892
0.000 3.513 1.194
3.042 1.756 6.088
0.000 0.000 3.641
0.000 3.513 4.861
0.000 0.000 0.000
3.042 1.756 2.421
```

Results
Uncorrected energy, eV/atom: -5.0932

***

Crystalline MnTl2FeF6 at its relaxed geometry. Source: the Alexandria database, functional PBE with a Hubbard U.

```
MnTl2FeF6
1.0
-4.303 -3.615 2.547
-2.214 -4.835 -3.130
5.060 -8.664 3.724
Fe F Tl Mn
2 12 4 2
Cartesian
1.301 -10.198 2.670
-2.758 -6.917 0.471
3.095 -9.311 3.140
-1.747 -8.670 -0.311
-0.737 -6.463 1.117
-3.420 -5.332 1.601
-0.721 -10.652 2.023
-2.352 -5.955 -1.301
0.290 -8.444 3.452
1.963 -11.783 1.539
1.244 -9.001 0.861
0.895 -11.159 4.442
-2.701 -8.113 2.280
-4.552 -7.804 0.001
-3.791 -10.654 0.894
2.334 -6.460 2.247
-0.427 -13.374 2.716
-1.030 -3.740 0.424
-0.729 -8.557 1.570
0.000 0.000 0.000
```

Results
Uncorrected energy, eV/atom: -5.1565

***

Crystalline MnVFe2F at its relaxed geometry. Source: the Alexandria database, functional PBE with a Hubbard U.

```
MnVFe2F
1.0
4.906 0.000 0.000
0.000 5.119 0.000
0.000 0.000 4.906
V F Fe Mn
1 1 2 1
Cartesian
0.000 0.000 0.000
2.453 2.560 2.453
2.453 0.000 0.000
0.000 0.000 2.453
0.000 2.560 0.000
```

Results
Uncorrected energy, eV/atom: -4.3833

***

Crystalline MnZnFeF6 at its relaxed geometry. Source: the Alexandria database, functional PBE with a Hubbard U.

```
MnZnFeF6
1.0
-4.502 -2.688 0.983
2.735 -0.927 -4.486
4.896 -6.607 4.350
Zn F Fe Mn
2 12 2 2
Cartesian
3.994 -6.470 0.599
-0.866 -3.753 0.248
4.304 -5.995 -1.391
3.999 -4.498 1.227
1.936 -6.563 0.413
-2.923 -3.854 0.046
6.051 -6.368 0.800
3.673 -6.956 2.585
-0.874 -1.784 0.885
-1.176 -4.228 2.238
4.002 -8.438 -0.038
-0.871 -5.725 -0.380
1.193 -3.660 0.434
-0.544 -3.267 -1.738
1.546 -3.166 -1.575
1.582 -7.057 2.422
0.000 0.000 0.000
2.448 -3.304 2.175
```

Results
Uncorrected energy, eV/atom: -5.1889

***

Crystalline Fe2MoF at its relaxed geometry. Source: the Alexandria database, functional PBE with a Hubbard U.

```
Fe2MoF
1.0
-5.928 -2.367 2.691
0.364 -5.572 -4.100
-1.214 -5.451 1.448
F Fe Mo
2 4 2
Cartesian
-1.816 -7.496 -1.678
-2.782 -3.969 -0.704
-5.811 -10.548 0.211
-2.965 -7.552 0.200
-1.335 -5.348 -1.629
-3.446 -3.332 1.296
0.000 0.000 0.000
-4.962 -5.893 1.717
```

Results
Energy above the most stable polymorph in this dataset, eV per atom: 0.000

***

Crystalline Fe3MoF at its relaxed geometry. Source: the Alexandria database, functional PBE with a Hubbard U.

```
Fe3MoF
1.0
-4.685 -0.866 -1.196
0.596 -4.749 1.106
-1.351 0.909 4.635
Fe F Mo
3 1 1
Cartesian
0.298 -2.375 0.553
-0.676 0.455 2.317
-2.343 -0.433 -0.598
-2.720 -2.353 2.272
0.000 0.000 0.000
```

Results
Energy above the most stable polymorph in this dataset, eV per atom: 1.040

***

Crystalline Fe3MoF at its relaxed geometry. Source: the Alexandria database, functional PBE with a Hubbard U.

```
Fe3MoF
1.0
-2.841 3.175 0.521
-2.915 -2.834 1.379
1.364 0.559 4.032
Mo Fe F
1 3 1
Cartesian
-2.196 0.450 2.966
0.682 0.280 2.016
-1.421 1.588 0.260
-1.457 -1.417 0.690
0.000 0.000 0.000
```

Results
Energy above the most stable polymorph in this dataset, eV per atom: 0.000

***

Crystalline FeMo2F at its relaxed geometry. Source: the Alexandria database, functional PBE with a Hubbard U.

```
FeMo2F
1.0
6.878 0.000 0.000
0.000 6.878 0.000
3.439 3.439 3.282
Mo Fe F
4 2 2
Cartesian
5.159 5.428 2.462
4.889 1.720 0.821
1.989 5.159 0.821
8.598 8.328 2.462
6.878 3.439 1.641
0.000 0.000 0.000
3.439 6.878 1.641
3.439 3.439 0.000
```

Results
Energy above the most stable polymorph in this dataset, eV per atom: 0.000

***

Crystalline FeMo2F at its relaxed geometry. Source: the Alexandria database, functional PBE with a Hubbard U.

```
FeMo2F
1.0
0.000 3.297 3.297
3.297 0.000 3.297
3.297 3.297 0.000
Mo F Fe
2 1 1
Cartesian
1.649 1.649 1.649
4.946 4.946 4.946
0.000 0.000 0.000
3.297 3.297 3.297
```

Results
Energy above the most stable polymorph in this dataset, eV per atom: 0.186

***

Crystalline Fe4MoF12 at its relaxed geometry. Source: the Alexandria database, functional PBE with a Hubbard U.

```
Fe4MoF12
1.0
6.391 0.080 -2.520
-3.025 5.735 -2.272
-0.203 -0.080 6.867
F Fe Mo
12 4 1
Cartesian
0.351 2.776 -0.500
-1.867 4.261 0.356
0.158 1.646 2.109
3.005 4.089 -0.034
4.354 1.726 -1.954
0.299 4.261 1.877
5.030 1.474 1.720
2.865 1.474 0.199
1.396 0.512 4.592
2.812 2.959 2.576
1.768 5.223 -2.517
-1.190 4.009 4.029
-1.513 2.868 -1.136
-0.101 -0.040 3.434
3.196 0.040 -1.260
1.582 2.868 1.038
-1.614 2.827 2.298
```

Results
Uncorrected energy, eV/atom: -5.4277